DFT (PBE) results for a geometry-optimized ThGe3Ir3 structure.

a = 7.7121 Å, b = 7.7121 Å, c = 7.7121 Å
α = 55.18°, β = 55.18°, γ = 55.18°
With the nearest neighbours (Å) after each atom.
Fractional positions:
Th: 0.1683 0.1683 0.1683  6 Ir 2.99-3.26, 3 Ge 3.10
Th: 0.8317 0.8317 0.8317  6 Ir 2.99-3.26, 3 Ge 3.10
Ge: 0.1135 0.4316 0.6628  4 Ir 2.43-2.56
Ge: 0.3372 0.8865 0.5684  4 Ir 2.43-2.56
Ge: 0.4316 0.6628 0.1135  4 Ir 2.43-2.56
Ge: 0.5684 0.3372 0.8865  4 Ir 2.43-2.56
Ge: 0.6628 0.1135 0.4316  4 Ir 2.43-2.56
Ge: 0.8865 0.5684 0.3372  4 Ir 2.43-2.56
Ir: 0.0327 0.7850 0.3498  4 Ge 2.43-2.56
Ir: 0.2150 0.6502 0.9673  4 Ge 2.43-2.56
Ir: 0.3498 0.0327 0.7850  4 Ge 2.43-2.56
Ir: 0.6502 0.9673 0.2150  4 Ge 2.43-2.56
Ir: 0.7850 0.3498 0.0327  4 Ge 2.43-2.56
Ir: 0.9673 0.2150 0.6502  4 Ge 2.43-2.56

Properties
SG: R-3
DFT formation energy (eV per atom): -0.4069
Relative energy among the computed polymorphs (eV/atom): 0.000
N(E_F) (states/eV/cell): 4.00